# 1
Here is an optimized crystal structure of NbSbNO from OQMD. Energies are from PBE-GGA.

Values from the calculation:
* polymorph energy (0 for the lowest one): 0.000 eV per atom

```
data_NbSbNO
_chemical_formula_sum 'Nb4 Sb4 N4 O4'
_symmetry_space_group_name_H-M 'P c a 21'
_symmetry_Int_Tables_number 29
_symmetry_space_group_name_Hall 'P 2c -2ac'
_cell_length_a 6.263
_cell_length_b 8.370
_cell_length_c 5.873
_cell_angle_alpha 90.00
_cell_angle_beta 90.00
_cell_angle_gamma 90.00
loop_
_atom_site_label
_atom_site_fract_x
_atom_site_fract_y
_atom_site_fract_z
Nb1 0.113 0.076 0.000
Sb1 0.177 0.526 0.056
N1 0.105 0.054 0.660
O1 0.049 0.291 0.057
```



# 2
Here is an optimized crystal structure of NbSbNO from OQMD. Energies are from PBE-GGA.

Values from the calculation:
* polymorph energy (0 for the lowest one): 0.338 eV per atom

```
data_NbSbNO
_chemical_formula_sum 'Nb2 Sb2 N2 O2'
_symmetry_space_group_name_H-M 'P 4/n m m'
_symmetry_Int_Tables_number 129
_cell_length_a 4.041
_cell_length_b 4.041
_cell_length_c 7.984
_cell_angle_alpha 90.00
_cell_angle_beta 90.00
_cell_angle_gamma 90.00
loop_
_symmetry_equiv_pos_as_xyz
'x,y,z'
'-x,-y,-z'
'-y+1/2,x,z'
'y+1/2,-x,-z'
'-x+1/2,-y+1/2,z'
'x+1/2,y+1/2,-z'
'y,-x+1/2,z'
'-y,x+1/2,-z'
'x+1/2,-y,-z'
'-x+1/2,y,z'
'-y,-x,-z'
'y,x,z'
'-x,y+1/2,-z'
'x,-y+1/2,z'
'y+1/2,x+1/2,-z'
'-y+1/2,-x+1/2,z'
loop_
_atom_site_label
_atom_site_fract_x
_atom_site_fract_y
_atom_site_fract_z
Nb1 0.250 0.750 0.000
Sb1 0.250 0.250 0.360
N1 0.250 0.250 0.928
O1 0.250 0.750 0.500
```



- polymorph energy (0 for the lowest one) of number 2 (NbSbNO)?
  0.338 eV per atom



- polymorph energy (0 for the lowest one) of number 2 (NbSbNO)?
  0.338 eV per atom